--- 1 ---
Material: Np2PaS4
Method: DFT, PBE
State: optimized geometry

Summary:
As for the crystal system: tetragonal.

```
Np2PaS4
1.0
-4.138 4.138 4.135
4.138 -4.138 4.135
4.138 4.138 -4.135
Np Pa S
4 2 8
Direct
0.375 0.001 0.126
0.751 0.625 0.626
0.875 0.249 0.874
0.999 0.125 0.374
0.250 0.750 0.500
0.500 0.500 0.000
0.125 0.026 0.750
0.125 0.526 0.750
0.276 0.375 0.250
0.474 0.224 0.599
0.625 0.875 0.401
0.625 0.875 0.901
0.776 0.375 0.250
0.974 0.724 0.099
```

---

--- 2 ---
Material: Np2PaS4
Method: DFT, PBE
State: optimized geometry

Summary:
As for the crystal system: orthorhombic.

```
Np2PaS4
1.0
1.928 -6.469 0.000
1.928 6.469 0.000
0.000 0.000 12.748
Np Pa S
4 2 8
Direct
0.133 0.867 0.567
0.133 0.867 0.933
0.867 0.133 0.067
0.867 0.133 0.433
0.376 0.624 0.750
0.624 0.376 0.250
0.027 0.973 0.750
0.228 0.772 0.127
0.228 0.772 0.373
0.500 0.500 0.000
0.500 0.500 0.500
0.772 0.228 0.627
0.772 0.228 0.873
0.973 0.027 0.250
```

---

Least stable: 2